Er2GaSi: optimized geometry, PBE.

POSCAR file:
```
Er2GaSi
1.0
-1.421 -0.943 3.529
-0.952 -4.324 -1.538
4.263 -1.415 1.339
Si Ga Er
1 1 2
Cartesian
-0.711 -0.471 1.764
0.945 -3.341 1.665
2.132 -0.707 0.670
-0.476 -2.162 -0.769
```

* raw formation energy: -526 meV per atom